Entry from Alexandria: an optimized crystal structure of HfCu2Re (GGA-PBE).

Summary:
Final energy in eV/atom: -7.110
ΔH_f (0 K) in meV/atom: 538.1

a = 3.7538 Å, b = 3.7538 Å, c = 9.8005 Å
α = 78.96°, β = 78.96°, γ = 90.00°
Positions (direct):
Hf 0.2500 0.7500 0.5000
Cu 0.0938 0.6250 0.2500
Hf 0.5000 0.5000 0.0000
Cu 0.6562 0.1250 0.2500
Cu 0.8750 0.9062 0.7500
Re 0.7500 0.2500 0.5000
Cu 0.3750 0.3438 0.7500
Re 0.0000 0.0000 0.0000